# Al3CuPd

An optimized crystal structure of Al3CuPd (GGA-PBE, Alexandria via LeMat-Bulk).

Cell: 4.490 4.757 7.217 Å, 90.00 108.11 90.00°
Sites, in units of the cell vectors:
Al: 0.569 0.412 0.420
Al: 0.765 0.330 0.812
Al: 0.067 0.786 0.416
Al: 0.959 0.286 0.199
Al: 0.457 0.912 0.195
Al: 0.260 0.830 0.803
Cu: 0.372 0.407 0.026
Cu: 0.653 0.906 0.589
Pd: 0.872 0.787 0.025
Pd: 0.154 0.287 0.590

Values from the calculation:
* E_tot: -45.073 eV/cell
* energy above the lowest structure with this stoichiometry: 0 meV/atom
* space group: Cmc2_1
* total moment: 0.000 μB per formula unit
* DOS(E_F): 1.38 states/eV/cell
* theoretical density: 5.69 g/cm³

# KPmSn4

An optimized crystal structure of KPmSn4 (GGA-PBE, Alexandria via LeMat-Bulk).

Cell: 6.306 6.306 6.306 Å, 60.00 60.00 60.00°
Sites, in units of the cell vectors:
K: 0.250 0.250 0.250
Sn: 0.626 0.626 0.122
Sn: 0.626 0.122 0.626
Sn: 0.626 0.626 0.626
Sn: 0.122 0.626 0.626
Pm: 0.000 0.000 0.000

Values from the calculation:
* E_tot: -23.568 eV/cell
* energy above the lowest structure with this stoichiometry: 0 meV/atom
* space group: F-43m
* total moment: 0.000 μB per formula unit
* theoretical density: 6.17 g/cm³

# Cs3Tl2Hg2Au4

An optimized crystal structure of Cs3Tl2Hg2Au4 (GGA-PBE, Alexandria via LeMat-Bulk).

Cell: 5.062 5.062 18.302 Å, 90.00 90.00 120.00°
Sites, in units of the cell vectors:
Cs: 0.000 0.000 0.722
Cs: 0.000 0.000 0.000
Cs: 0.000 0.000 0.278
Tl: 0.667 0.333 0.433
Tl: 0.333 0.667 0.567
Hg: 0.667 0.333 0.861
Hg: 0.333 0.667 0.139
Au: 0.667 0.333 0.136
Au: 0.333 0.667 0.864
Au: 0.667 0.333 0.593
Au: 0.333 0.667 0.407

Values from the calculation:
* E_tot: -23.429 eV/cell
* space group: P-3m1
* total moment: 0.000 μB per formula unit
* DOS(E_F): 4.06 states/eV/cell
* theoretical density: 8.16 g/cm³